Entry 1:
# RbY2Te

A relaxed RbY2Te crystal (GGA-PBE, Alexandria).

a b c (Å): 6.0833 6.0833 21.5499
angles (deg): 90.00 90.00 90.00
Last column: nearest neighbours and their distance in Å.
Space group I4_1/amd (No. 141, origin choice 2)
Symmetry-distinct sites (fractional):
Rb1 0.0000 0.2500 0.3750  4 Te 4.30, 8 Y 4.34
Y1 0.0000 0.0000 0.0000  2 Y 3.04, 2 Te 3.09
Te1 0.0000 0.2500 0.8750  4 Y 3.09


Entry 2:
# RbYTe

A relaxed RbYTe crystal (GGA-PBE, Alexandria).

a b c (Å): 4.8318 4.8318 9.8800
angles (deg): 90.00 90.00 90.00
Last column: nearest neighbours and their distance in Å.
Space group P4/nmm (No. 129, origin choice 2)
Symmetry-distinct sites (fractional):
Rb1 0.2500 0.2500 0.1435  4 Te 3.69
Y1 0.2500 0.7500 0.5000  4 Te 3.22, 4 Y 3.42
Te1 0.2500 0.2500 0.7154  4 Y 3.22


Entry 3:
# Rb2YTe2

A relaxed Rb2YTe2 crystal (GGA-PBE, Alexandria).

Summary:
- Energy above the lowest structure with this stoichiometry: 0.0 meV per atom

a b c (Å): 8.5154 8.5154 5.5488
angles (deg): 90.00 90.00 90.00
Last column: nearest neighbours and their distance in Å.
Space group P4/mbm (No. 127)
Symmetry-distinct sites (fractional):
Rb1 0.1402 0.3598 0.0000  1 Rb 3.38, 2 Te 3.53
Y1 0.0000 0.0000 0.5000  4 Te 3.13
Te1 0.1780 0.6780 0.5000  2 Y 3.13


Entry 4:
# RbY3Te

A relaxed RbY3Te crystal (GGA-PBE, Alexandria).

Summary:
- Energy above the lowest structure with this stoichiometry: 0.0 meV per atom

a b c (Å): 5.9085 5.9085 5.9085
angles (deg): 90.00 90.00 90.00
Last column: nearest neighbours and their distance in Å.
Space group Pm-3m (No. 221)
Symmetry-distinct sites (fractional):
Rb1 0.0000 0.0000 0.0000  12 Y 4.18
Y1 0.0000 0.5000 0.5000  2 Te 2.95
Te1 0.5000 0.5000 0.5000  6 Y 2.95


Energy relative to the elements, uncorrected, record by record: 0.085, -0.765, -0.893, 0.120 eV/atom